## FeRe2F (GGA+U)

Data for crystalline FeRe2F at its relaxed geometry.

Lattice parameters (Å, degrees): 6.7788 6.7788 5.3905 51.04 51.04 90.00
Site moments in Bohr magnetons follow the coordinates.
Positions (direct):
Re 0.5786 0.1250 0.2500  -0.15
Re 0.1714 0.6250 0.2500  -0.17
Re 0.3750 0.4214 0.7500  -0.17
Re 0.8750 0.8286 0.7500  -0.17
Fe 0.0000 0.0000 0.0000  3.56
Fe 0.7500 0.2500 0.5000  3.56
F 0.5000 0.5000 0.0000  -0.01
F 0.2500 0.7500 0.5000  -0.01

Computed properties:
- relative energy among the computed polymorphs (eV per formula unit) = 0.000
- space-group type = I-42d, No. 122
- DOS(E_F) (states/eV/atom) = 0.75